First-principles (meta-GGA SCAN) data for a crystal of IrWCl2 relaxed with PBEsol, as listed in Alexandria.

The calculation puts the energy above the most stable polymorph in this dataset at 1593.7 meV/atom. The volume comes out at 14.5 A^3/atom. Its size of the total moment is 0.000 μB per cell. The formation energy without anion corrections comes out at 1.676 eV per atom.

It has space group P4/mmm (No. 123), with a = 4.342 Å, b = 4.342 Å, c = 3.086 Å, α = 90.00°, β = 90.00° and γ = 90.00°. The inequivalent atoms are Ir at (0.000, 0.000, 0.000), W at (0.500, 0.500, 0.000) and Cl at (0.000, 0.500, 0.500).

First-principles (meta-GGA SCAN) data for a crystal of GePdI2O relaxed with PBEsol, as listed in Alexandria.

The calculation puts the energy above the most stable polymorph in this dataset at 0.0 meV/atom. The volume comes out at 22.2 A^3/atom. Its size of the total moment is 0.010 μB per cell. The formation energy without anion corrections comes out at 0.059 eV per atom.

It has space group P4/mmm (No. 123), with a = 5.534 Å, b = 5.534 Å, c = 3.617 Å, α = 90.00°, β = 90.00° and γ = 90.00°. The inequivalent atoms are Ge at (0.000, 0.000, 0.000), Pd at (0.500, 0.500, 0.500), I at (0.000, 0.500, 0.000) and O at (0.000, 0.000, 0.500).

First-principles (meta-GGA SCAN) data for a crystal of ReAgCl2 relaxed with PBEsol, as listed in Alexandria.

The calculation puts the energy above the most stable polymorph in this dataset at 0.0 meV/atom. The volume comes out at 21.3 A^3/atom. Its size of the total moment is 2.382 μB per cell. The formation energy without anion corrections comes out at 0.233 eV per atom.

It has space group Cm (No. 8), with a = 10.207 Å, b = 2.876 Å, c = 6.432 Å, α = 90.00°, β = 115.38° and γ = 90.00°. The inequivalent atoms are Re at (0.000, 0.000, 0.000), Ag at (0.263, 0.000, 0.000), Cl at (0.094, 0.500, 0.322) and Cl at (0.421, 0.000, 0.678).

First-principles (meta-GGA SCAN) data for a crystal of Pm2MgCd relaxed with PBEsol, as listed in Alexandria.

The volume comes out at 27.0 A^3/atom. The calculation puts the calculated formation energy at -272 meV per atom. Its size of the total moment is 3.744 μB per cell.

It has space group Fm-3m (No. 225), with a = 7.558 Å, b = 7.558 Å, c = 7.558 Å, α = 90.00°, β = 90.00° and γ = 90.00°. The inequivalent atoms are Pm at (0.250, 0.250, 0.250), Mg at (0.000, 0.000, 0.000) and Cd at (0.000, 0.000, 0.500).

First-principles (meta-GGA SCAN) data for a crystal of SrNdCoO4 relaxed with PBEsol, as listed in Alexandria.

The calculation puts the energy above the most stable polymorph in this dataset at 0.0 meV/atom. The volume comes out at 12.1 A^3/atom. Its size of the total moment is 0.001 μB per cell. The formation energy without anion corrections comes out at -2.777 eV per atom.

It has space group I4mm (No. 107), with a = 3.738 Å, b = 3.738 Å, c = 12.163 Å, α = 90.00°, β = 90.00° and γ = 90.00°. The inequivalent atoms are Sr at (0.000, 0.000, 0.000), Nd at (0.000, 0.000, 0.280), Co at (0.000, 0.000, 0.633), O at (0.000, 0.000, 0.474), O at (0.000, 0.000, 0.801) and O at (0.000, 0.500, 0.152).

First-principles (meta-GGA SCAN) data for a crystal of ScAu relaxed with PBEsol, as listed in Alexandria.

The volume comes out at 18.2 A^3/atom. The calculation puts the calculated formation energy at -867 meV per atom. Its size of the total moment is 0.000 μB per cell.

It has space group I4_1/amd (No. 141, origin choice 2), with a = 4.099 Å, b = 4.099 Å, c = 8.659 Å, α = 90.00°, β = 90.00° and γ = 90.00°. The inequivalent atoms are Sc at (0.000, 0.250, 0.375) and Au at (0.000, 0.250, 0.875).